NiAsW2: PBEsol geometry, meta-GGA SCAN.

## Properties
total DFT energy (no corrections): -43.7337 eV per atom
energy of formation from the pure elements: 201 meV/atom

```
NiAsW2
1.0
2.8381 0.0000 0.0000
0.0000 4.0651 0.0000
-1.2781 0.0000 4.8482
Ni As W
1 1 2
Direct
0.0000 0.0000 0.0000
0.9016 0.5000 0.7671
0.3148 0.0000 0.5218
0.6048 0.5000 0.2371
```